No. 1
Density functional theory data (PBE-GGA) for an optimized crystal structure of La3Pr5Er.

The space group is C2/m (No. 12) and the conventional cell measures 13.816, 8.180 and 12.196 Å, with angles of 90.00, 96.02 and 90.00 degrees. The asymmetric unit holds La at (0.000, 0.000, 0.000), La at (0.000, 0.000, 0.500), La at (0.163, 0.500, 0.224), La at (0.235, 0.500, 0.514), Pr at (0.000, 0.329, 0.000), Pr at (0.000, 0.500, 0.373), Pr at (0.125, 0.213, 0.759), Pr at (0.245, 0.000, 0.028) and Er at (0.108, 0.000, 0.255).

No. 2
Density functional theory data (PBE-GGA) for an optimized crystal structure of LaPrEr2.

For the offset from the most stable computed form, the calculation gives 329 meV per atom.

The space group is P2/m (No. 10) and the conventional cell measures 7.291, 3.598 and 10.429 Å, with angles of 90.00, 97.71 and 90.00 degrees. The asymmetric unit holds La at (0.000, 0.000, 0.000), La at (0.000, 0.500, 0.500), Pr at (0.319, 0.000, 0.365), Er at (0.266, 0.000, 0.760) and Er at (0.363, 0.500, 0.097).

No. 3
Density functional theory data (PBE-GGA) for an optimized crystal structure of La6PrEr8.

The space group is R-3 (No. 148, hexagonal axes) and the conventional cell measures 9.0726, 9.0726 and 21.3560 Å, with angles of 90.00, 90.00 and 120.00 degrees. The asymmetric unit holds La at (0.0518, 0.8050, 0.2137), Pr at (0.0000, 0.0000, 0.5000), Er at (0.0000, 0.0000, 0.0766) and Er at (0.0794, 0.5068, 0.3061).

No. 4
Density functional theory data (PBE-GGA) for an optimized crystal structure of La2PrEr3.

For the offset from the most stable computed form, the calculation gives 49 meV per atom.

The space group is Cmc2_1 (No. 36) and the conventional cell measures 9.537, 13.203 and 6.481 Å, with angles of 90.00, 90.00 and 90.00 degrees. The asymmetric unit holds La at (0.170, 0.061, 0.000), Pr at (0.000, 0.331, 0.782), Er at (0.000, 0.411, 0.259) and Er at (0.181, 0.193, 0.473).

No. 5
Density functional theory data (PBE-GGA) for an optimized crystal structure of La8PrEr3.

The space group is C2 (No. 5) and the conventional cell measures 15.911, 8.946 and 6.447 Å, with angles of 90.00, 113.32 and 90.00 degrees. The asymmetric unit holds La at (0.070, 0.000, 0.319), La at (0.129, 0.631, 0.637), La at (0.175, 0.992, 0.930), La at (0.249, 0.241, 0.643), Pr at (0.000, 0.686, 0.000), Er at (0.000, 0.312, 0.500) and Er at (0.121, 0.353, 0.097).

No. 6
Density functional theory data (PBE-GGA) for an optimized crystal structure of La2PrEr.

For the offset from the most stable computed form, the calculation gives 129 meV per atom.

The space group is R-3m (No. 166, hexagonal axes) and the conventional cell measures 3.5705, 3.5705 and 38.4057 Å, with angles of 90.00, 90.00 and 120.00 degrees. The asymmetric unit holds La at (0.0000, 0.0000, 0.0897), Pr at (0.0000, 0.0000, 0.0000) and Er at (0.0000, 0.0000, 0.5000).

No. 7
Density functional theory data (PBE-GGA) for an optimized crystal structure of La3Pr2Er2.

For the offset from the most stable computed form, the calculation gives 0 meV per atom.

The space group is C2/m (No. 12) and the conventional cell measures 11.622, 5.183 and 8.182 Å, with angles of 90.00, 97.46 and 90.00 degrees. The asymmetric unit holds La at (0.000, 0.000, 0.000), La at (0.142, 0.000, 0.427), Pr at (0.215, 0.500, 0.143) and Er at (0.071, 0.500, 0.712).

No. 8
Density functional theory data (PBE-GGA) for an optimized crystal structure of La2Pr4Er.

For the offset from the most stable computed form, the calculation gives 0 meV per atom.

The space group is R-3m (No. 166, hexagonal axes) and the conventional cell measures 3.7163, 3.7163 and 62.6195 Å, with angles of 90.00, 90.00 and 120.00 degrees. The asymmetric unit holds La at (0.0000, 0.0000, 0.0944), Pr at (0.0000, 0.0000, 0.1911), Pr at (0.0000, 0.0000, 0.3794) and Er at (0.0000, 0.0000, 0.0000).

Computed ΔE_f, in the same sequence as the records: 9.04; 7.94; 2.75; 4.44; 2.36; 3.23; 0.56; 0.26 kcal/mol of atoms.